TlReTc | PBE | optimized geometry

Results
Crystal system ... orthorhombic
DFT formation energy ... 753 meV/atom
Energy ... -7.640 eV per atom
Energy relative to the lowest polymorph listed for this composition ... 282 meV per atom

```
data_TlReTc
_space_group_name_H-M_alt 'F m m 2'
_space_group_IT_number 42
_space_group_name_Hall 'F 2 -2'
_cell_length_a 2.985
_cell_length_b 4.933
_cell_length_c 14.568
_cell_angle_alpha 90.00
_cell_angle_beta 90.00
_cell_angle_gamma 90.00
loop_
_atom_site_label
_atom_site_type_symbol
_atom_site_fract_x
_atom_site_fract_y
_atom_site_fract_z
Tl1 Tl 0.000 0.000 0.000
Re1 Re 0.000 0.000 0.318
Tc1 Tc 0.000 0.000 0.677
```